16
Lattice="2.324 -5.656 0.000 2.324 5.656 0.000 0.000 0.000 16.059" Properties=species:S:1:pos:R:3 comment="Na3Ga2Sn3 PBE-GGA optimized geometry" delta_e_f_kj_per_mol_fu=-138 density_kg_m3=4440 dft_energy_ev_per_atom=-2.931 pbc="T T T"
Na 2.324 4.847 9.953
Na 2.324 4.847 14.135
Na 2.324 1.514 12.044
Na 2.324 -1.514 4.015
Na 2.324 -4.847 1.924
Na 2.324 -4.847 6.106
Ga 2.324 3.222 1.692
Ga 2.324 3.222 6.337
Ga 2.324 -3.222 9.722
Ga 2.324 -3.222 14.366
Sn 2.324 1.783 4.015
Sn 2.324 1.417 8.540
Sn 2.324 1.417 15.547
Sn 2.324 -1.417 0.511
Sn 2.324 -1.417 7.518
Sn 2.324 -1.783 12.044